This record from Alexandria via LeMat-Bulk describes Ac2MgTl6 after structural relaxation. The functional is PBE.

The structure in POSCAR format:
```
Ac2MgTl6
1.0
7.001 0.000 0.000
-3.501 6.063 0.000
0.000 0.000 6.370
Ac Mg Tl
2 1 6
direct
0.333 0.667 0.329
0.667 0.333 0.671
0.000 0.000 0.500
0.178 0.355 0.818
0.178 0.822 0.818
0.355 0.178 0.182
0.645 0.822 0.818
0.822 0.178 0.182
0.822 0.645 0.182
```

ΔE_f   -0.253 eV per atom
Density of states at the Fermi level   0.35 states/eV per atom
VASP energy   -2.921 eV per atom


This record from Alexandria via LeMat-Bulk describes Ac3Mg4Tl2 after structural relaxation. The functional is PBE.

The structure in POSCAR format:
```
Ac3Mg4Tl2
1.0
5.983 -2.642 0.000
5.983 2.642 0.000
-4.529 0.000 8.904
Ac Mg Tl
3 4 2
direct
0.000 0.000 0.000
0.336 0.336 0.329
0.664 0.664 0.671
0.070 0.070 0.402
0.286 0.286 0.952
0.714 0.714 0.048
0.930 0.930 0.598
0.387 0.387 0.722
0.613 0.613 0.278
```

ΔE_f   -0.207 eV per atom
Density of states at the Fermi level   0.70 states/eV per atom
VASP energy   -2.811 eV per atom


This record from Alexandria via LeMat-Bulk describes Ac2MgTl after structural relaxation. The functional is PBE.

The structure in POSCAR format:
```
Ac2MgTl
1.0
5.833 0.000 0.000
0.000 5.833 0.000
0.000 0.000 4.118
Ac Mg Tl
2 1 1
direct
0.000 0.500 0.000
0.500 0.000 0.000
0.000 0.000 0.500
0.500 0.500 0.500
```

ΔE_f   -0.209 eV per atom
Density of states at the Fermi level   1.47 states/eV per atom
VASP energy   -3.253 eV per atom


This record from Alexandria via LeMat-Bulk describes Ac6MgTl2 after structural relaxation. The functional is PBE.

The structure in POSCAR format:
```
Ac6MgTl2
1.0
8.944 -4.006 0.000
8.944 4.006 0.000
-1.797 0.000 5.382
Ac Mg Tl
6 1 2
direct
0.083 0.583 0.332
0.250 0.750 0.000
0.417 0.917 0.668
0.583 0.083 0.332
0.750 0.250 0.000
0.917 0.417 0.668
0.000 0.000 0.500
0.333 0.333 0.833
0.667 0.667 0.167
```

ΔE_f   0.036 eV per atom
Density of states at the Fermi level   1.44 states/eV per atom
VASP energy   -3.406 eV per atom


Question: What is the formula in the first record?
Answer: Ac2MgTl6